Entry 1:
ScAs2SeI | PBE | relaxed

Cell lengths 5.316, 5.316, 5.211 Å; angles 90.00, 90.00, 90.00 degrees
Atoms (fractional coordinates):
I 0.000 0.000 0.000
Sc 0.500 0.500 0.500
As 0.000 0.500 0.000
As 0.500 0.000 0.000
Se 0.000 0.000 0.500

The raw total energy comes out at -3.3484 eV/atom. The relative energy among the computed polymorphs comes out at 0.708 eV/atom. Its crystal system is tetragonal. The space group is No. 123.


Entry 2:
ScAs2SeI | PBE | relaxed

Cell lengths 5.321, 5.321, 4.985 Å; angles 90.00, 90.00, 90.00 degrees
Atoms (fractional coordinates):
I 0.500 0.500 0.500
Sc 0.000 0.000 0.000
As 0.000 0.500 0.000
As 0.500 0.000 0.000
Se 0.000 0.000 0.500

The raw total energy comes out at -4.0567 eV/atom. The relative energy among the computed polymorphs comes out at 0.000 eV/atom. Its crystal system is tetragonal. The space group is No. 123.


Entry 3:
ScTeAs2I | PBE | relaxed

Cell lengths 5.305, 5.773, 5.305 Å; angles 90.00, 90.00, 90.00 degrees
Site moments in Bohr magnetons follow the coordinates.
Atoms (fractional coordinates):
I 0.000 0.500 0.000  0.00
Sc 0.500 0.500 0.500  0.08
As 0.000 0.000 0.500  -0.01
As 0.500 0.000 0.000  -0.01
Te 0.000 0.000 0.000  0.00

The raw total energy comes out at -3.3945 eV/atom. Its crystal system is tetragonal. The space group is No. 123.


Entry 4:
ScTeAsI2 | PBE | relaxed

Cell lengths 5.506, 5.506, 5.738 Å; angles 90.00, 90.00, 90.00 degrees
Site moments in Bohr magnetons follow the coordinates.
Atoms (fractional coordinates):
I 0.000 0.500 0.000  -0.01
I 0.500 0.000 0.000  -0.01
Sc 0.500 0.500 0.500  0.83
As 0.000 0.000 0.000  -0.01
Te 0.000 0.000 0.500  -0.05

The raw total energy comes out at -3.2476 eV/atom. The relative energy among the computed polymorphs comes out at 0.292 eV/atom. Its crystal system is tetragonal. The space group is No. 123.


Entry 5:
ScTeAsI2 | PBE | relaxed

Cell lengths 5.609, 5.609, 5.881 Å; angles 90.00, 90.00, 90.00 degrees
Site moments in Bohr magnetons follow the coordinates.
Atoms (fractional coordinates):
I 0.000 0.500 0.000  0.01
I 0.500 0.000 0.000  0.01
Sc 0.000 0.000 0.000  0.07
As 0.500 0.500 0.500  1.00
Te 0.000 0.000 0.500  -0.19

The raw total energy comes out at -3.5400 eV/atom. The relative energy among the computed polymorphs comes out at 0.000 eV/atom. Its crystal system is tetragonal. The space group is No. 123.


Entry 6:
AsSeI3 | PBE | relaxed

Cell lengths 5.718, 5.718, 5.718 Å; angles 90.00, 90.00, 90.00 degrees
Site moments in Bohr magnetons follow the coordinates.
Atoms (fractional coordinates):
I 0.000 0.500 0.000  0.06
I 0.000 0.000 0.500  0.10
I 0.500 0.000 0.000  0.09
As 0.000 0.000 0.000  -0.07
Se 0.500 0.500 0.500  1.14

The raw total energy comes out at -2.1247 eV/atom. The relative energy among the computed polymorphs comes out at 0.000 eV/atom. Its crystal system is cubic. The space group is No. 221.


Entry 7:
AsSeI2 | PBE | relaxed

Cell lengths 5.296, 5.296, 5.296 Å; angles 60.00, 60.00, 60.00 degrees
Atoms (fractional coordinates):
I 0.250 0.250 0.250
I 0.750 0.750 0.750
As 0.000 0.000 0.000
Se 0.500 0.500 0.500

The raw total energy comes out at -2.1266 eV/atom. The relative energy among the computed polymorphs comes out at 0.647 eV/atom. Its crystal system is cubic. The space group is No. 225.


Entry 8:
As5Se12I3 | PBE | relaxed

Cell lengths 14.399, 14.399, 14.399 Å; angles 109.47, 109.47, 109.47 degrees
Atoms (fractional coordinates):
I 0.750 0.375 0.125
I 0.875 0.750 0.125
I 0.375 0.750 0.625
I 0.250 0.125 0.375
I 0.875 0.125 0.250
I 0.375 0.625 0.250
I 0.625 0.375 0.750
I 0.125 0.875 0.750
I 0.750 0.875 0.625
I 0.625 0.250 0.375
I 0.125 0.250 0.875
I 0.250 0.625 0.875
As 0.125 0.375 0.250
As 0.000 0.500 0.000
As 0.000 0.000 0.000
As 0.375 0.250 0.125
As 0.500 0.000 0.500
As 0.500 0.500 0.000
As 0.125 0.750 0.375
As 0.750 0.125 0.875
As 0.750 0.625 0.375
As 0.375 0.125 0.750
As 0.625 0.875 0.250
As 0.500 0.500 0.500
As 0.500 0.000 0.000
As 0.000 0.000 0.500
As 0.250 0.375 0.625
As 0.250 0.875 0.125
As 0.000 0.500 0.500
As 0.875 0.250 0.625
As 0.625 0.750 0.875
As 0.875 0.625 0.750
Se 0.715 0.103 0.024
Se 0.308 0.524 0.421
Se 0.976 0.397 0.285
Se 0.524 0.215 0.103
Se 0.613 0.715 0.692
Se 0.976 0.579 0.192
Se 0.308 0.785 0.387
Se 0.079 0.887 0.103
Se 0.579 0.976 0.692
Se 0.715 0.613 0.192
Se 0.785 0.476 0.397
Se 0.808 0.921 0.024
Se 0.103 0.715 0.524
Se 0.397 0.421 0.113
Se 0.113 0.921 0.397
Se 0.387 0.103 0.579
Se 0.113 0.192 0.215
Se 0.476 0.692 0.079
Se 0.808 0.887 0.285
Se 0.103 0.387 0.079
Se 0.397 0.976 0.785
Se 0.579 0.603 0.387
Se 0.921 0.808 0.524
Se 0.785 0.308 0.887
Se 0.421 0.397 0.613
Se 0.079 0.192 0.476
Se 0.215 0.692 0.113
Se 0.192 0.113 0.715
Se 0.603 0.024 0.215
Se 0.897 0.613 0.921
Se 0.524 0.308 0.921
Se 0.613 0.897 0.421
Se 0.887 0.808 0.785
Se 0.887 0.079 0.603
Se 0.897 0.285 0.476
Se 0.192 0.079 0.976
Se 0.603 0.579 0.887
Se 0.421 0.024 0.308
Se 0.285 0.387 0.808
Se 0.215 0.524 0.603
Se 0.921 0.113 0.897
Se 0.692 0.215 0.613
Se 0.476 0.785 0.897
Se 0.024 0.421 0.808
Se 0.387 0.285 0.308
Se 0.024 0.603 0.715
Se 0.692 0.476 0.579
Se 0.285 0.897 0.976

The raw total energy comes out at -3.1972 eV/atom. Its crystal system is cubic. The space group is No. 230.